[1]
BaSn3Au2 | PBE | optimized geometry

Cell lengths 6.516, 6.516, 4.506 Å; angles 90.00, 90.00, 120.00 degrees
Atoms (fractional coordinates):
Ba 0.000 0.000 0.500
Sn 0.500 0.000 0.000
Sn 0.500 0.500 0.000
Sn 0.000 0.500 0.000
Au 0.667 0.333 0.500
Au 0.333 0.667 0.500

Summary:
final energy = -22.9 eV/cell
energy of formation = -406 meV/atom
total magnetization = 0.000 Bohr magnetons per cell
space group = P6/mmm


[2]
Li2CeSmTl4 | PBE | optimized geometry

Cell lengths 5.272, 5.272, 9.117 Å; angles 73.19, 73.19, 60.00 degrees
Atoms (fractional coordinates):
Li 0.751 0.751 0.748
Li 0.249 0.249 0.252
Ce 0.000 0.000 0.000
Sm 0.500 0.500 0.500
Tl 0.375 0.375 0.874
Tl 0.874 0.874 0.377
Tl 0.126 0.126 0.623
Tl 0.625 0.625 0.126

Summary:
final energy = -26.3 eV/cell
energy of formation = -296 meV/atom
total magnetization = 1.022 Bohr magnetons per cell
space group = R-3m


[3]
Ca6Pd5Pb | PBE | optimized geometry

Cell lengths 5.046, 7.366, 8.736 Å; angles 114.93, 106.79, 90.00 degrees
Atoms (fractional coordinates):
Pb 0.000 0.000 0.000
Ca 0.172 0.432 0.344
Ca 0.172 0.912 0.344
Ca 0.500 0.269 0.000
Ca 0.500 0.731 0.000
Ca 0.828 0.088 0.656
Ca 0.828 0.568 0.656
Pd 0.341 0.841 0.682
Pd 0.670 0.670 0.340
Pd 0.000 0.500 0.000
Pd 0.330 0.330 0.660
Pd 0.659 0.159 0.318

Summary:
final energy = -49.1 eV/cell
energy of formation = -615 meV/atom
total magnetization = 0.000 Bohr magnetons per cell
space group = Immm